Entry 1:
The following is a GGA-PBE calculation of TbTm3Pt after structural relaxation, from the Alexandria database.

a b c (Å): 6.368 5.040 8.668
angles (deg): 90.00 97.16 90.00
Positions (direct):
Tb 0.108 0.250 0.286
Tb 0.892 0.750 0.714
Tm 0.230 0.250 0.737
Tm 0.288 0.750 0.057
Tm 0.326 0.750 0.479
Tm 0.674 0.250 0.521
Tm 0.712 0.250 0.943
Tm 0.770 0.750 0.263
Pt 0.467 0.750 0.789
Pt 0.533 0.250 0.211

Output
Final energy: -5.31 eV/atom
DFT formation energy: -0.494 eV per atom
ρ: 10.4 g/cm3

=====

Entry 2:
The following is a GGA-PBE calculation of LaTb2PrEr after structural relaxation, from the Alexandria database.

a b c (Å): 7.208 7.208 7.224
angles (deg): 90.00 90.00 107.80
Positions (direct):
La 0.235 0.765 0.750
La 0.765 0.235 0.250
Tb 0.186 0.186 0.000
Tb 0.186 0.186 0.500
Tb 0.814 0.814 0.000
Tb 0.814 0.814 0.500
Pr 0.498 0.502 0.750
Pr 0.502 0.498 0.250
Er 0.219 0.781 0.250
Er 0.781 0.219 0.750

Output
Final energy: -4.35 eV/atom
DFT formation energy: 0.361 eV per atom
ρ: 7.1 g/cm3

=====

Entry 3:
The following is a GGA-PBE calculation of K2YPa2Te6 after structural relaxation, from the Alexandria database.

a b c (Å): 7.613 7.613 8.917
angles (deg): 98.16 98.16 120.04
Positions (direct):
K 0.166 0.834 0.000
K 0.834 0.166 0.000
Y 0.000 0.000 0.500
Pa 0.333 0.667 0.500
Pa 0.667 0.333 0.500
Te 0.072 0.404 0.710
Te 0.266 0.266 0.290
Te 0.404 0.072 0.710
Te 0.596 0.928 0.290
Te 0.734 0.734 0.710
Te 0.928 0.596 0.290

Output
Final energy: -5.30 eV/atom
ρ: 5.4 g/cm3

=====

Entry 4:
The following is a GGA-PBE calculation of HfMg14Zr after structural relaxation, from the Alexandria database.

a b c (Å): 10.324 6.470 6.470
angles (deg): 57.09 90.00 90.00
Positions (direct):
Hf 0.000 0.000 0.000
Mg 0.000 0.001 0.501
Mg 0.000 0.501 0.001
Mg 0.247 0.158 0.158
Mg 0.247 0.162 0.662
Mg 0.247 0.662 0.162
Mg 0.248 0.658 0.658
Mg 0.500 0.000 0.499
Mg 0.500 0.499 0.000
Mg 0.500 0.499 0.499
Mg 0.500 0.999 0.999
Mg 0.752 0.658 0.658
Mg 0.753 0.158 0.158
Mg 0.753 0.162 0.662
Mg 0.753 0.662 0.162
Zr 0.000 0.500 0.500

Output
Offset from the most stable computed form: 0 meV per atom
Final energy: -2.50 eV/atom
DFT formation energy: 0.049 eV per atom
ρ: 2.8 g/cm3

=====

Entry 5:
The following is a GGA-PBE calculation of Cd4Ag2Au5 after structural relaxation, from the Alexandria database.

a b c (Å): 7.773 2.991 9.359
angles (deg): 90.00 93.02 90.00
Positions (direct):
Cd 0.217 0.000 0.134
Cd 0.257 0.000 0.612
Cd 0.743 0.000 0.388
Cd 0.783 0.000 0.866
Ag 0.070 0.500 0.368
Ag 0.930 0.500 0.632
Au 0.156 0.500 0.874
Au 0.429 0.500 0.351
Au 0.500 0.500 0.000
Au 0.571 0.500 0.649
Au 0.844 0.500 0.126

Output
Offset from the most stable computed form: 0 meV per atom
Final energy: -2.41 eV/atom
DFT formation energy: -0.072 eV per atom
ρ: 12.6 g/cm3

=====

Entry 6:
The following is a GGA-PBE calculation of SrSi4P after structural relaxation, from the Alexandria database.

a b c (Å): 5.340 5.340 5.340
angles (deg): 60.00 60.00 60.00
Positions (direct):
Sr 0.000 0.000 0.000
Si 0.377 0.377 0.377
Si 0.377 0.377 0.870
Si 0.377 0.870 0.377
Si 0.870 0.377 0.377
P 0.750 0.750 0.750

Output
Final energy: -4.54 eV/atom
ρ: 3.6 g/cm3

=====

Question: Look up the final energy of the sixth one.
Answer: -4.54 eV/atom